CuIr2C GGA-PBE relaxed; total DFT energy (no corrections) = -7.30 eV per atom; E_form = 462 meV per atom; spin magnetization = 0.000 μB/atom; calculated density = 14810 kg/m3
1.0
6.444 0.000 0.000
0.000 6.444 0.000
0.000 0.000 4.968
Cu Ir C
4 8 4
Direct
0.000 0.000 0.000 Cu
0.000 0.500 0.250 Cu
0.500 0.000 0.750 Cu
0.500 0.500 0.500 Cu
0.153 0.250 0.625 Ir
0.250 0.653 0.875 Ir
0.250 0.847 0.375 Ir
0.347 0.250 0.125 Ir
0.653 0.750 0.125 Ir
0.750 0.153 0.375 Ir
0.750 0.347 0.875 Ir
0.847 0.750 0.625 Ir
0.000 0.000 0.500 C
0.000 0.500 0.750 C
0.500 0.000 0.250 C
0.500 0.500 0.000 C

=====

CuIr3C GGA-PBE relaxed; polymorph energy (0 for the lowest one) = 0.0000 eV/atom; total DFT energy (no corrections) = -7.52 eV per atom; E_form = 456 meV per atom; spin magnetization = 0.000 μB/atom; calculated density = 16274 kg/m3
1.0
4.052 0.000 0.000
0.000 4.052 0.000
0.000 0.000 4.052
Cu Ir C
1 3 1
Direct
0.000 0.000 0.000 Cu
0.000 0.500 0.500 Ir
0.500 0.000 0.500 Ir
0.500 0.500 0.000 Ir
0.500 0.500 0.500 C